Model 1:
# HfAg3Br | Alexandria | PBE-GGA | relaxed
# DOS(E_F): 1.24 states/eV/atom
# Space-group type: No. 221
data_HfAg3Br
_cell_length_a 5.065
_cell_length_b 5.065
_cell_length_c 5.065
_cell_angle_alpha 90.00
_cell_angle_beta 90.00
_cell_angle_gamma 90.00
_symmetry_space_group_name_H-M 'P 1'
_symmetry_Int_Tables_number 1
_symmetry_space_group_name_Hall 'P 1'
loop_
_atom_site_label
_atom_site_fract_x
_atom_site_fract_y
_atom_site_fract_z
Hf1 0.500 0.500 0.500
Br1 0.000 0.000 0.000
Ag1 0.000 0.500 0.000
Ag2 0.000 0.000 0.500
Ag3 0.500 0.000 0.000

***

Model 2:
# HfAg3Br | Alexandria | PBE-GGA | relaxed
# DOS(E_F): 0.48 states/eV/atom
# Space-group type: No. 221
data_HfAg3Br
_cell_length_a 5.387
_cell_length_b 5.387
_cell_length_c 5.387
_cell_angle_alpha 90.00
_cell_angle_beta 90.00
_cell_angle_gamma 90.00
_symmetry_space_group_name_H-M 'P 1'
_symmetry_Int_Tables_number 1
_symmetry_space_group_name_Hall 'P 1'
loop_
_atom_site_label
_atom_site_fract_x
_atom_site_fract_y
_atom_site_fract_z
Hf1 0.000 0.000 0.000
Br1 0.500 0.500 0.500
Ag1 0.000 0.500 0.000
Ag2 0.000 0.000 0.500
Ag3 0.500 0.000 0.000

***

It is model 1 that is the least stable of them.

***

Model 1:
# HfAg2Br6 | Alexandria | PBE-GGA | relaxed
# DOS(E_F): 0.00 states/eV/atom
# Space-group type: No. 148
data_HfAg2Br6
_cell_length_a 7.101
_cell_length_b 7.101
_cell_length_c 7.503
_cell_angle_alpha 61.76
_cell_angle_beta 61.76
_cell_angle_gamma 60.00
_symmetry_space_group_name_H-M 'P 1'
_symmetry_Int_Tables_number 1
_symmetry_space_group_name_Hall 'P 1'
loop_
_atom_site_label
_atom_site_fract_x
_atom_site_fract_y
_atom_site_fract_z
Hf1 0.000 0.000 0.000
Ag1 0.197 0.197 0.410
Ag2 0.803 0.803 0.590
Br1 0.767 0.103 0.758
Br2 0.103 0.372 0.758
Br3 0.372 0.767 0.758
Br4 0.233 0.897 0.242
Br5 0.897 0.628 0.242
Br6 0.628 0.233 0.242

***

Model 2:
# HfAg2Br6 | Alexandria | PBE-GGA | relaxed
# DOS(E_F): 0.00 states/eV/atom
# Space-group type: No. 136
data_HfAg2Br6
_cell_length_a 6.672
_cell_length_b 6.672
_cell_length_c 12.359
_cell_angle_alpha 90.00
_cell_angle_beta 90.00
_cell_angle_gamma 90.00
_symmetry_space_group_name_H-M 'P 1'
_symmetry_Int_Tables_number 1
_symmetry_space_group_name_Hall 'P 1'
loop_
_atom_site_label
_atom_site_fract_x
_atom_site_fract_y
_atom_site_fract_z
Hf1 0.000 0.000 0.000
Hf2 0.500 0.500 0.500
Ag1 0.000 0.000 0.337
Ag2 0.500 0.500 0.837
Ag3 0.500 0.500 0.163
Ag4 0.000 0.000 0.663
Br1 0.307 0.307 0.346
Br2 0.693 0.693 0.346
Br3 0.193 0.807 0.846
Br4 0.807 0.193 0.846
Br5 0.193 0.807 0.154
Br6 0.807 0.193 0.154
Br7 0.307 0.307 0.654
Br8 0.693 0.693 0.654
Br9 0.280 0.280 0.000
Br10 0.720 0.720 0.000
Br11 0.220 0.780 0.500
Br12 0.780 0.220 0.500

***

It is model 2 that is the least stable of them.

***

Model 1:
# Hf2AgBr | Alexandria | PBE-GGA | relaxed
# DOS(E_F): 0.60 states/eV/atom
# Space-group type: No. 225
data_Hf2AgBr
_cell_length_a 4.851
_cell_length_b 4.851
_cell_length_c 4.851
_cell_angle_alpha 60.00
_cell_angle_beta 60.00
_cell_angle_gamma 60.00
_symmetry_space_group_name_H-M 'P 1'
_symmetry_Int_Tables_number 1
_symmetry_space_group_name_Hall 'P 1'
loop_
_atom_site_label
_atom_site_fract_x
_atom_site_fract_y
_atom_site_fract_z
Hf1 0.250 0.250 0.250
Hf2 0.750 0.750 0.750
Br1 0.000 0.000 0.000
Ag1 0.500 0.500 0.500

***

Model 2:
# Hf2AgBr | Alexandria | PBE-GGA | relaxed
# DOS(E_F): 1.59 states/eV/atom
# Space-group type: No. 122
data_Hf2AgBr
_cell_length_a 4.334
_cell_length_b 4.334
_cell_length_c 10.358
_cell_angle_alpha 77.92
_cell_angle_beta 77.92
_cell_angle_gamma 90.00
_symmetry_space_group_name_H-M 'P 1'
_symmetry_Int_Tables_number 1
_symmetry_space_group_name_Hall 'P 1'
loop_
_atom_site_label
_atom_site_fract_x
_atom_site_fract_y
_atom_site_fract_z
Hf1 0.623 0.125 0.250
Hf2 0.127 0.625 0.250
Hf3 0.375 0.377 0.750
Hf4 0.875 0.873 0.750
Br1 0.500 0.500 0.000
Br2 0.250 0.750 0.500
Ag1 0.000 0.000 0.000
Ag2 0.750 0.250 0.500

***

It is model 2 that is the least stable of them.

***

Model 1:
# HfAgSeBr2 | Alexandria | PBE-GGA | relaxed
# DOS(E_F): 1.02 states/eV/atom
# Space-group type: No. 123
data_HfAgSeBr2
_cell_length_a 5.133
_cell_length_b 5.133
_cell_length_c 5.186
_cell_angle_alpha 90.00
_cell_angle_beta 90.00
_cell_angle_gamma 90.00
_symmetry_space_group_name_H-M 'P 1'
_symmetry_Int_Tables_number 1
_symmetry_space_group_name_Hall 'P 1'
loop_
_atom_site_label
_atom_site_fract_x
_atom_site_fract_y
_atom_site_fract_z
Se1 0.000 0.000 0.500
Hf1 0.500 0.500 0.500
Br1 0.000 0.500 0.000
Br2 0.500 0.000 0.000
Ag1 0.000 0.000 0.000

***

Model 2:
# HfAgSeBr2 | Alexandria | PBE-GGA | relaxed
# DOS(E_F): 0.45 states/eV/atom
# Space-group type: No. 123
data_HfAgSeBr2
_cell_length_a 5.281
_cell_length_b 5.281
_cell_length_c 5.162
_cell_angle_alpha 90.00
_cell_angle_beta 90.00
_cell_angle_gamma 90.00
_symmetry_space_group_name_H-M 'P 1'
_symmetry_Int_Tables_number 1
_symmetry_space_group_name_Hall 'P 1'
loop_
_atom_site_label
_atom_site_fract_x
_atom_site_fract_y
_atom_site_fract_z
Se1 0.000 0.000 0.500
Hf1 0.000 0.000 0.000
Br1 0.000 0.500 0.000
Br2 0.500 0.000 0.000
Ag1 0.500 0.500 0.500

***

It is model 1 that is the least stable of them.